# 1
{
  "formula": "CuReSb2Te",
  "functional": "GGA-PBE",
  "state": "relaxed",
  "lattice_angstrom": [[-2.616, 4.188, 0.458], [-3.423, -1.798, -3.105], [-2.517, -2.002, 3.935]],
  "species": ["Re", "Te", "Cu", "Sb", "Sb"],
  "fractional_positions": [[0.500, 0.500, 0.500], [0.000, 0.000, 0.500], [0.000, 0.000, 0.000], [0.000, 0.500, 0.000], [0.500, 0.000, 0.000]],
  "raw_formation_energy_ev_per_atom": 1.342,
  "de_polymorph_ev_per_atom": 0.386
}



# 2
{
  "formula": "Pm2AgSnAu6",
  "functional": "GGA-PBE",
  "state": "relaxed",
  "lattice_angstrom": [[7.071, -0.399, -0.444], [0.080, 8.010, 1.867], [3.125, 5.282, 5.080]],
  "species": ["Pm", "Pm", "Ag", "Sn", "Au", "Au", "Au", "Au", "Au", "Au"],
  "fractional_positions": [[0.778, 0.214, 0.596], [0.222, 0.786, 0.404], [0.000, 0.000, 0.000], [0.500, 0.500, 0.000], [0.454, 0.483, 0.362], [0.955, 0.757, 0.832], [0.276, 0.801, 0.952], [0.724, 0.199, 0.048], [0.045, 0.243, 0.168], [0.546, 0.517, 0.638]],
  "e_form_mev_per_atom": -430
}



# 3
{
  "formula": "CrMo2W6",
  "functional": "GGA-PBE",
  "state": "relaxed",
  "lattice_angstrom": [[-0.841, 0.004, 4.593], [4.429, -6.889, 0.818], [1.547, 5.519, -3.308]],
  "species": ["Cr", "Mo", "Mo", "W", "W", "W", "W", "W", "W"],
  "fractional_positions": [[0.000, 0.000, 0.000], [0.671, 0.671, 0.341], [0.329, 0.329, 0.659], [0.166, 0.495, 0.333], [0.834, 0.162, 0.667], [0.834, 0.505, 0.667], [0.500, 0.166, 0.000], [0.166, 0.838, 0.333], [0.500, 0.834, 0.000]],
  "de_polymorph_ev_per_atom": 0.415,
  "e_form_mev_per_atom": 435
}



# 4
{
  "formula": "ThBeGa2Cu4",
  "functional": "GGA-PBE",
  "state": "relaxed",
  "lattice_angstrom": [[4.117, 0.000, 0.000], [2.059, 3.565, 0.000], [2.059, 1.188, 8.364]],
  "species": ["Th", "Be", "Ga", "Ga", "Cu", "Cu", "Cu", "Cu"],
  "fractional_positions": [[0.000, 0.000, 0.000], [0.500, 0.500, 0.500], [0.758, 0.758, 0.727], [0.242, 0.242, 0.273], [0.410, 0.410, 0.770], [0.861, 0.861, 0.416], [0.139, 0.139, 0.584], [0.590, 0.590, 0.230]],
  "e_form_mev_per_atom": -200
}



# 5
{
  "formula": "In2ReTePd",
  "functional": "GGA-PBE",
  "state": "relaxed",
  "lattice_angstrom": [[5.724, 0.000, 0.000], [0.000, 5.724, 0.000], [0.000, 0.000, 4.923]],
  "species": ["Re", "Te", "Pd", "In", "In"],
  "fractional_positions": [[0.000, 0.000, 0.500], [0.000, 0.000, 0.000], [0.500, 0.500, 0.500], [0.000, 0.500, 0.000], [0.500, 0.000, 0.000]],
  "raw_formation_energy_ev_per_atom": 1.575
}



# 6
{
  "formula": "KThCu2Cl8",
  "functional": "GGA-PBE",
  "state": "relaxed",
  "lattice_angstrom": [[-2.973, 0.888, -5.656], [-6.217, -1.430, 1.005], [-1.908, 8.911, 2.174]],
  "species": ["K", "Th", "Cu", "Cu", "Cl", "Cl", "Cl", "Cl", "Cl", "Cl", "Cl", "Cl"],
  "fractional_positions": [[0.000, 0.000, 0.500], [0.000, 0.000, 0.000], [0.503, 0.503, 0.659], [0.497, 0.497, 0.341], [0.230, 0.757, 0.221], [0.747, 0.750, 0.000], [0.759, 0.232, 0.221], [0.770, 0.243, 0.779], [0.253, 0.250, 0.000], [0.241, 0.768, 0.779], [0.665, 0.670, 0.492], [0.335, 0.330, 0.508]],
  "raw_formation_energy_ev_per_atom": -1.388
}



# 7
{
  "formula": "Na2SiS2",
  "functional": "GGA-PBE",
  "state": "relaxed",
  "lattice_angstrom": [[-4.924, 1.424, -5.402], [-5.244, -3.660, 3.816], [-0.897, 2.948, 1.595]],
  "species": ["Na", "Na", "Na", "Na", "S", "S", "S", "S", "Si", "Si"],
  "fractional_positions": [[0.380, 0.880, 0.000], [0.880, 0.620, 0.000], [0.620, 0.120, 0.000], [0.120, 0.380, 0.000], [0.187, 0.687, 0.500], [0.687, 0.813, 0.500], [0.813, 0.313, 0.500], [0.313, 0.187, 0.500], [0.000, 0.000, 0.000], [0.500, 0.500, 0.000]],
  "raw_formation_energy_ev_per_atom": -0.089,
  "de_polymorph_ev_per_atom": 0.000
}



# 8
{
  "formula": "TiTl2Ag2Te4",
  "functional": "GGA-PBE",
  "state": "relaxed",
  "lattice_angstrom": [[-1.725, -3.469, 1.483], [6.871, -4.297, -2.061], [1.397, 4.672, 6.750]],
  "species": ["Ti", "Tl", "Tl", "Ag", "Ag", "Te", "Te", "Te", "Te"],
  "fractional_positions": [[0.000, 0.000, 0.000], [0.135, 0.592, 0.271], [0.865, 0.408, 0.729], [0.683, 0.968, 0.366], [0.317, 0.032, 0.634], [0.187, 0.205, 0.374], [0.813, 0.795, 0.626], [0.504, 0.767, 0.007], [0.496, 0.233, 0.993]],
  "raw_formation_energy_ev_per_atom": -0.326
}



# 9
{
  "formula": "BaTa2Sb",
  "functional": "GGA-PBE",
  "state": "relaxed",
  "lattice_angstrom": [[-0.926, 3.498, 2.361], [0.710, -1.821, 2.976], [7.364, 1.207, 1.102]],
  "species": ["Ba", "Sb", "Ta", "Ta"],
  "fractional_positions": [[0.000, 0.545, 0.534], [0.500, 0.911, 0.802], [0.000, 0.784, 0.057], [0.500, 0.260, 0.107]],
  "raw_formation_energy_ev_per_atom": 0.231
}



# 10
{
  "formula": "Ca4ZnIr",
  "functional": "GGA-PBE",
  "state": "relaxed",
  "lattice_angstrom": [[0.000, 4.280, 4.280], [4.280, 0.000, 4.280], [4.280, 4.280, 0.000]],
  "species": ["Ca", "Ca", "Ca", "Ca", "Zn", "Ir"],
  "fractional_positions": [[0.871, 0.376, 0.376], [0.376, 0.376, 0.871], [0.376, 0.871, 0.376], [0.376, 0.376, 0.376], [0.000, 0.000, 0.000], [0.750, 0.750, 0.750]],
  "de_polymorph_ev_per_atom": 0.987,
  "e_form_mev_per_atom": 706
}



# 11
{
  "formula": "Zr6Co5Rh",
  "functional": "GGA-PBE",
  "state": "relaxed",
  "lattice_angstrom": [[4.432, 0.002, -0.938], [-0.003, 6.469, -0.001], [-0.846, 0.000, 7.114]],
  "species": ["Rh", "Co", "Co", "Co", "Co", "Co", "Zr", "Zr", "Zr", "Zr", "Zr", "Zr"],
  "fractional_positions": [[0.000, 0.000, 0.000], [0.665, 0.500, 0.331], [0.333, 0.000, 0.665], [0.000, 0.500, 0.000], [0.667, 0.000, 0.335], [0.335, 0.500, 0.669], [0.831, 0.748, 0.662], [0.831, 0.252, 0.662], [0.500, 0.256, 0.000], [0.500, 0.744, 0.000], [0.169, 0.748, 0.338], [0.169, 0.252, 0.338]],
  "e_form_mev_per_atom": -352
}



# 12
{
  "formula": "MgRhF4",
  "functional": "GGA-PBE",
  "state": "relaxed",
  "lattice_angstrom": [[6.145, 0.000, 0.000], [0.000, 6.145, 0.000], [-3.073, -3.073, 2.495]],
  "species": ["Mg", "Rh", "F", "F", "F", "F"],
  "fractional_positions": [[0.750, 0.250, 0.500], [0.500, 0.500, 0.000], [0.373, 0.813, 0.027], [0.654, 0.214, 0.027], [0.187, 0.346, 0.973], [0.786, 0.627, 0.973]],
  "raw_formation_energy_ev_per_atom": -2.121
}